This record from the Alexandria database describes a PBEsol-optimized structure of GeTe3Ru. The functional is meta-GGA SCAN.

Properties
Formation energy from raw total energies   0.625 eV per atom
Magnetic moment   0.00 μB/cell

Cell lengths 5.115, 5.115, 5.115 Å; angles 90.00, 90.00, 90.00 degrees
Fractional positions:
1 Te 0.000 0.000 0.500
2 Ru 0.000 0.000 0.000
3 Ge 0.500 0.500 0.500
4 Te 0.000 0.500 0.000
5 Te 0.500 0.000 0.000

This record from the Alexandria database describes a PBEsol-optimized structure of NiCl2. The functional is meta-GGA SCAN.

Properties
Formation energy from raw total energies   -0.671 eV per atom
Magnetic moment   0.05 μB/cell

Cell lengths 3.134, 6.348, 7.060 Å; angles 90.00, 90.00, 104.29 degrees
Fractional positions:
1 Ni 0.062 0.123 0.750
2 Cl 0.443 0.885 0.750
3 Cl 0.319 0.639 0.250
4 Cl 0.557 0.115 0.250
5 Ni 0.938 0.877 0.250
6 Cl 0.681 0.361 0.750

Which value of formation energy from raw total energies does entry 1 give? 0.625 eV per atom

Among the records above, which one has the lowest magnetic moment? GeTe3Ru

Which value of magnetic moment does entry 2 give? 0.05 μB/cell

The highest formation energy from raw total energies belongs to which entry? GeTe3Ru